Pr3Cu2S6 PBE optimized geometry; total DFT energy (no corrections) = -62.26 eV/cell; crystal system = tetragonal; formation energy without anion corrections = -131.3 kJ per mole of atoms; space-group type = I4/mmm, No. 139; M_tot = 0.000 μB per formula unit
1.0
-3.5045 -2.0100 2.1190
2.8533 -1.6499 3.1540
-1.2258 11.1594 3.6473
S Cu Pr
6 2 3
Direct
0.4179 0.9179 0.8358 S
0.2946 0.2946 0.5892 S
0.7054 0.7054 0.4108 S
0.0821 0.5821 0.1642 S
0.5821 0.0821 0.1642 S
0.9179 0.4179 0.8358 S
0.4016 0.4016 0.8033 Cu
0.5984 0.5984 0.1967 Cu
0.0000 0.0000 0.0000 Pr
0.1715 0.1715 0.3429 Pr
0.8285 0.8285 0.6571 Pr